# 1
Computed, not measured: a geometry-optimized CdB2Pd structure at the PBE level of DFT.

The structure belongs to space group I4_1/amd (No. 141, origin choice 2); the cell edges are 3.765, 3.765 and 15.603 Å and the angles 90.00°, 90.00° and 90.00°. The distinct sites, in fractional coordinates, are Cd at (0.000, 0.250, 0.375), B at (0.000, 0.000, 0.000) and Pd at (0.000, 0.250, 0.875).

Its crystal system is tetragonal. As for the total energy: -17.74 eV per formula unit.

---

# 2
Computed, not measured: a geometry-optimized CaLa4Nd structure at the PBE level of DFT.

The structure belongs to space group F-43m (No. 216); the cell edges are 9.757, 9.757 and 9.757 Å and the angles 90.00°, 90.00° and 90.00°. The distinct sites, in fractional coordinates, are Ca at (0.000, 0.000, 0.000), La at (0.122, 0.122, 0.378) and Nd at (0.250, 0.250, 0.750).

Its crystal system is cubic. For the polymorph energy (0 for the lowest one), the calculation gives 155 meV/atom.

---

# 3
Computed, not measured: a geometry-optimized Be4CuAu3 structure at the PBE level of DFT.

The structure belongs to space group P4/mmm (No. 123); the cell edges are 2.914, 2.914 and 11.585 Å and the angles 90.00°, 90.00° and 90.00°. The distinct sites, in fractional coordinates, are Be at (0.000, 0.000, 0.104), Be at (0.000, 0.000, 0.370), Cu at (0.500, 0.500, 0.000), Au at (0.500, 0.500, 0.238) and Au at (0.500, 0.500, 0.500).

Its crystal system is tetragonal. As for the total energy: -29.65 eV per formula unit.

---

# 4
Computed, not measured: a geometry-optimized SbSeI structure at the PBE level of DFT.

The structure belongs to space group Pnma (No. 62); the cell edges are 9.031, 4.176 and 11.389 Å and the angles 90.00°, 90.00° and 90.00°. The distinct sites, in fractional coordinates, are Sb at (0.098, 0.250, 0.127), Se at (0.169, 0.750, 0.968) and I at (0.038, 0.250, 0.695).

Its crystal system is orthorhombic. For the formation energy from raw total energies, the calculation gives -0.3149 eV/atom.

---

# 5
Computed, not measured: a geometry-optimized Rb3Cu2AuI8 structure at the PBE level of DFT.

The structure belongs to space group P-3m1 (No. 164); the cell edges are 8.0837, 8.0837 and 10.3700 Å and the angles 90.00°, 90.00° and 120.00°. The distinct sites, in fractional coordinates, are Rb at (0.0000, 0.0000, 0.0000), Rb at (0.3333, 0.6667, 0.6196), Cu at (0.3333, 0.6667, 0.2072), Au at (0.0000, 0.0000, 0.5000), I at (0.1654, 0.3309, 0.3253) and I at (0.3333, 0.6667, 0.9681).

Its crystal system is trigonal. For the formation energy from raw total energies, the calculation gives -0.6564 eV/atom.

---

# 6
Computed, not measured: a geometry-optimized TbSmH structure at the PBE level of DFT.

The structure belongs to space group P3m1 (No. 156); the cell edges are 3.6714, 3.6714 and 5.6912 Å and the angles 90.00°, 90.00° and 120.00°. The distinct sites, in fractional coordinates, are Tb at (0.0000, 0.0000, 0.0000), Sm at (0.3333, 0.6667, 0.4832) and H at (0.6667, 0.3333, 0.2345).

Its crystal system is trigonal. For the polymorph energy (0 for the lowest one), the calculation gives 0 meV/atom.

---

# 7
Computed, not measured: a geometry-optimized KInGa2Rh structure at the PBE level of DFT.

The structure belongs to space group P4/mmm (No. 123); the cell edges are 4.900, 4.900 and 5.222 Å and the angles 90.00°, 90.00° and 90.00°. The distinct sites, in fractional coordinates, are K at (0.000, 0.000, 0.000), In at (0.500, 0.500, 0.000), Ga at (0.000, 0.500, 0.500) and Rh at (0.500, 0.500, 0.500).

Its crystal system is tetragonal. As for the total energy: -18.50 eV per formula unit.

---

# 8
Computed, not measured: a geometry-optimized LiPmIrPd structure at the PBE level of DFT.

The structure belongs to space group F-43m (No. 216); the cell edges are 6.664, 6.664 and 6.664 Å and the angles 90.00°, 90.00° and 90.00°. The distinct sites, in fractional coordinates, are Li at (0.000, 0.000, 0.000), Pm at (0.000, 0.000, 0.500), Ir at (0.250, 0.250, 0.250) and Pd at (0.250, 0.250, 0.750).

Its crystal system is cubic. As for the total energy: -22.29 eV per formula unit.

---

# 9
Computed, not measured: a geometry-optimized CsIrPdO6 structure at the PBE level of DFT.

The structure belongs to space group P312 (No. 149); the cell edges are 5.3532, 5.3532 and 6.5841 Å and the angles 90.00°, 90.00° and 120.00°. The distinct sites, in fractional coordinates, are Cs at (0.0000, 0.0000, 0.0000), Ir at (0.6667, 0.3333, 0.5000), Pd at (0.3333, 0.6667, 0.5000) and O at (0.4065, 0.0119, 0.6672).

Its crystal system is trigonal. For the formation energy from raw total energies, the calculation gives -0.6898 eV/atom.

---

# 10
Computed, not measured: a geometry-optimized MgScPb2O6 structure at the PBE level of DFT.

The structure belongs to space group R3 (No. 146, hexagonal axes); the cell edges are 5.5878, 5.5878 and 14.8234 Å and the angles 90.00°, 90.00° and 120.00°. The distinct sites, in fractional coordinates, are Mg at (0.0000, 0.0000, 0.0000), Sc at (0.0000, 0.0000, 0.4988), Pb at (0.0000, 0.0000, 0.2813), Pb at (0.0000, 0.0000, 0.7872), O at (0.0424, 0.6880, 0.0673) and O at (0.0677, 0.3565, 0.5649).

Its crystal system is trigonal. For the formation energy from raw total energies, the calculation gives -1.8608 eV/atom.

---

# 11
Computed, not measured: a geometry-optimized Pr12Eu3Au5 structure at the PBE level of DFT.

The structure belongs to space group Ia-3d (No. 230); the cell edges are 18.575, 18.575 and 18.575 Å and the angles 90.00°, 90.00° and 90.00°. The distinct sites, in fractional coordinates, are Pr at (0.031, 0.065, 0.643), Eu at (0.000, 0.250, 0.125), Au at (0.000, 0.000, 0.000) and Au at (0.000, 0.250, 0.375).

Its crystal system is cubic. As for the total energy: -101.89 eV per formula unit.

---

# 12
Computed, not measured: a geometry-optimized Na2Sr4Ge structure at the PBE level of DFT.

The structure belongs to space group I4/mmm (No. 139); the cell edges are 6.131, 6.131 and 18.534 Å and the angles 90.00°, 90.00° and 90.00°. The distinct sites, in fractional coordinates, are Na at (0.000, 0.000, 0.132), Sr at (0.000, 0.000, 0.334), Sr at (0.000, 0.500, 0.000) and Ge at (0.000, 0.000, 0.500).

Its crystal system is tetragonal. As for the total energy: -14.57 eV per formula unit.